Entry 1:
VASP calculation (PBE-GGA) on crystalline BaZn3Te at its relaxed geometry.

```
data_BaZn3Te
_symmetry_space_group_name_H-M 'P m -3 m'
_symmetry_Int_Tables_number 221
_symmetry_space_group_name_Hall '-P 4 2 3'
_cell_length_a 5.448
_cell_length_b 5.448
_cell_length_c 5.448
_cell_angle_alpha 90.00
_cell_angle_beta 90.00
_cell_angle_gamma 90.00
loop_
_atom_site_label
_atom_site_fract_x
_atom_site_fract_y
_atom_site_fract_z
Ba1 0.000 0.000 0.000
Zn1 0.000 0.500 0.500
Te1 0.500 0.500 0.500
```

Calculated values
Magnetization   0.00 Bohr magnetons per cell
Formation energy from raw total energies   18.3 kJ per mole of atoms
D(E_F)   0.91 states/eV per atom
E   -0.1167 Ry per atom



Entry 2:
VASP calculation (PBE-GGA) on crystalline Ba2ZnTe at its relaxed geometry.

```
data_Ba2ZnTe
_symmetry_space_group_name_H-M 'A m m 2'
_symmetry_Int_Tables_number 38
_cell_length_a 5.172
_cell_length_b 4.741
_cell_length_c 12.900
_cell_angle_alpha 90.00
_cell_angle_beta 90.00
_cell_angle_gamma 90.00
loop_
_symmetry_equiv_pos_as_xyz
'x,y,z'
'-x,-y,z'
'-x,y,z'
'x,-y,z'
'x,y+1/2,z+1/2'
'-x,-y+1/2,z+1/2'
'-x,y+1/2,z+1/2'
'x,-y+1/2,z+1/2'
loop_
_atom_site_label
_atom_site_fract_x
_atom_site_fract_y
_atom_site_fract_z
Ba1 0.000 0.000 0.000
Ba2 0.500 0.000 0.265
Zn1 0.000 0.000 0.736
Te1 0.500 0.000 0.544
```

Calculated values
Magnetization   1.28 Bohr magnetons per cell
Formation energy from raw total energies   -77.4 kJ per mole of atoms
D(E_F)   0.97 states/eV per atom
E   -0.2107 Ry per atom



Entry 3:
VASP calculation (PBE-GGA) on crystalline Ba2Zn2Te at its relaxed geometry.

```
data_Ba2Zn2Te
_symmetry_space_group_name_H-M 'P 4/m b m'
_symmetry_Int_Tables_number 127
_symmetry_space_group_name_Hall '-P 4 2ab'
_cell_length_a 8.664
_cell_length_b 8.664
_cell_length_c 4.528
_cell_angle_alpha 90.00
_cell_angle_beta 90.00
_cell_angle_gamma 90.00
loop_
_atom_site_label
_atom_site_fract_x
_atom_site_fract_y
_atom_site_fract_z
Ba1 0.191 0.309 0.000
Zn1 0.105 0.605 0.500
Te1 0.000 0.000 0.500
```

Calculated values
Magnetization   0.00 Bohr magnetons per cell
Formation energy from raw total energies   -51.8 kJ per mole of atoms
D(E_F)   0.53 states/eV per atom
E   -0.1796 Ry per atom



Entry 4:
VASP calculation (PBE-GGA) on crystalline BaZn4Te at its relaxed geometry.

```
data_BaZn4Te
_symmetry_space_group_name_H-M 'F -4 3 m'
_symmetry_Int_Tables_number 216
_symmetry_space_group_name_Hall 'F -4 2 3'
_cell_length_a 8.375
_cell_length_b 8.375
_cell_length_c 8.375
_cell_angle_alpha 90.00
_cell_angle_beta 90.00
_cell_angle_gamma 90.00
loop_
_atom_site_label
_atom_site_fract_x
_atom_site_fract_y
_atom_site_fract_z
Ba1 0.000 0.000 0.000
Zn1 0.121 0.121 0.379
Te1 0.250 0.250 0.750
```

Calculated values
Magnetization   0.00 Bohr magnetons per cell
Formation energy from raw total energies   -14.3 kJ per mole of atoms
D(E_F)   0.25 states/eV per atom
E   -0.1354 Ry per atom



Entry 5:
VASP calculation (PBE-GGA) on crystalline BaZn3Te at its relaxed geometry.

```
data_BaZn3Te
_symmetry_space_group_name_H-M 'P m -3 m'
_symmetry_Int_Tables_number 221
_symmetry_space_group_name_Hall '-P 4 2 3'
_cell_length_a 6.071
_cell_length_b 6.071
_cell_length_c 6.071
_cell_angle_alpha 90.00
_cell_angle_beta 90.00
_cell_angle_gamma 90.00
loop_
_atom_site_label
_atom_site_fract_x
_atom_site_fract_y
_atom_site_fract_z
Ba1 0.000 0.000 0.000
Zn1 0.000 0.000 0.500
Te1 0.500 0.500 0.500
```

Calculated values
Magnetization   0.00 Bohr magnetons per cell
Formation energy from raw total energies   67.3 kJ per mole of atoms
D(E_F)   0.17 states/eV per atom
E   -0.0794 Ry per atom



Entry 6:
VASP calculation (PBE-GGA) on crystalline Ba2ZnTe at its relaxed geometry.

```
data_Ba2ZnTe
_symmetry_space_group_name_H-M 'C m m m'
_symmetry_Int_Tables_number 65
_symmetry_space_group_name_Hall '-C 2 2'
_cell_length_a 8.254
_cell_length_b 8.280
_cell_length_c 4.306
_cell_angle_alpha 90.00
_cell_angle_beta 90.00
_cell_angle_gamma 90.00
loop_
_atom_site_label
_atom_site_fract_x
_atom_site_fract_y
_atom_site_fract_z
Ba1 0.250 0.250 0.000
Zn1 0.000 0.000 0.500
Te1 0.000 0.500 0.500
```

Calculated values
Magnetization   0.00 Bohr magnetons per cell
Formation energy from raw total energies   -78.5 kJ per mole of atoms
D(E_F)   0.77 states/eV per atom
E   -0.2116 Ry per atom



Entry 7:
VASP calculation (PBE-GGA) on crystalline BaZnTe at its relaxed geometry.

```
data_BaZnTe
_symmetry_space_group_name_H-M 'C 1 m 1'
_symmetry_Int_Tables_number 8
_cell_length_a 7.107
_cell_length_b 6.577
_cell_length_c 4.870
_cell_angle_alpha 90.00
_cell_angle_beta 108.85
_cell_angle_gamma 90.00
loop_
_symmetry_equiv_pos_as_xyz
'x,y,z'
'x,-y,z'
'x+1/2,y+1/2,z'
'x+1/2,-y+1/2,z'
loop_
_atom_site_label
_atom_site_fract_x
_atom_site_fract_y
_atom_site_fract_z
Ba1 0.000 0.000 0.000
Zn1 0.154 0.500 0.349
Te1 0.382 0.000 0.693
```

Calculated values
Magnetization   0.00 Bohr magnetons per cell
Formation energy from raw total energies   -76.4 kJ per mole of atoms
E   -0.2135 Ry per atom



Entry 8:
VASP calculation (PBE-GGA) on crystalline Ba4ZnTe at its relaxed geometry.

```
data_Ba4ZnTe
_symmetry_space_group_name_H-M 'F -4 3 m'
_symmetry_Int_Tables_number 216
_symmetry_space_group_name_Hall 'F -4 2 3'
_cell_length_a 10.345
_cell_length_b 10.345
_cell_length_c 10.345
_cell_angle_alpha 90.00
_cell_angle_beta 90.00
_cell_angle_gamma 90.00
loop_
_atom_site_label
_atom_site_fract_x
_atom_site_fract_y
_atom_site_fract_z
Ba1 0.124 0.124 0.124
Zn1 0.000 0.000 0.500
Te1 0.250 0.250 0.750
```

Calculated values
Magnetization   6.05 Bohr magnetons per cell
Formation energy from raw total energies   13.8 kJ per mole of atoms
D(E_F)   1.33 states/eV per atom
E   -0.1378 Ry per atom



Entry 9:
VASP calculation (PBE-GGA) on crystalline Ba3ZnTe4 at its relaxed geometry.

```
data_Ba3ZnTe4
_symmetry_space_group_name_H-M 'P n m a'
_symmetry_Int_Tables_number 62
_cell_length_a 9.456
_cell_length_b 12.157
_cell_length_c 10.688
_cell_angle_alpha 90.00
_cell_angle_beta 90.00
_cell_angle_gamma 90.00
loop_
_symmetry_equiv_pos_as_xyz
'x,y,z'
'-x,-y,-z'
'-x+1/2,-y,z+1/2'
'x+1/2,y,-z+1/2'
'x+1/2,-y+1/2,-z+1/2'
'-x+1/2,y+1/2,z+1/2'
'-x,y+1/2,-z'
'x,-y+1/2,z'
loop_
_atom_site_label
_atom_site_fract_x
_atom_site_fract_y
_atom_site_fract_z
Ba1 0.017 0.042 0.202
Ba2 0.087 0.750 0.435
Zn1 0.190 0.750 0.986
Te1 0.047 0.250 0.877
Te2 0.192 0.051 0.517
Te3 0.214 0.750 0.730
```

Calculated values
Magnetization   0.00 Bohr magnetons per cell
Formation energy from raw total energies   -130.3 kJ per mole of atoms
D(E_F)   0.00 states/eV per atom
E   -0.2794 Ry per atom



Entry 10:
VASP calculation (PBE-GGA) on crystalline BaZnTe at its relaxed geometry.

```
data_BaZnTe
_symmetry_space_group_name_H-M 'P 3 m 1'
_symmetry_Int_Tables_number 156
_cell_length_a 4.9212
_cell_length_b 4.9212
_cell_length_c 4.9624
_cell_angle_alpha 90.00
_cell_angle_beta 90.00
_cell_angle_gamma 120.00
loop_
_symmetry_equiv_pos_as_xyz
'x,y,z'
'-y,x-y,z'
'-x+y,-x,z'
'-y,-x,z'
'-x+y,y,z'
'x,x-y,z'
loop_
_atom_site_label
_atom_site_fract_x
_atom_site_fract_y
_atom_site_fract_z
Ba1 0.0000 0.0000 0.0000
Zn1 0.3333 0.6667 0.6683
Te1 0.6667 0.3333 0.4401
```

Calculated values
Magnetization   0.00 Bohr magnetons per cell
Formation energy from raw total energies   -80.3 kJ per mole of atoms
E   -0.2165 Ry per atom



Entry 11:
VASP calculation (PBE-GGA) on crystalline BaZn2Te2 at its relaxed geometry.

```
data_BaZn2Te2
_symmetry_space_group_name_H-M 'I 4/m m m'
_symmetry_Int_Tables_number 139
_symmetry_space_group_name_Hall '-I 4 2'
_cell_length_a 5.147
_cell_length_b 5.147
_cell_length_c 11.604
_cell_angle_alpha 90.00
_cell_angle_beta 90.00
_cell_angle_gamma 90.00
loop_
_atom_site_label
_atom_site_fract_x
_atom_site_fract_y
_atom_site_fract_z
Ba1 0.000 0.000 0.000
Zn1 0.000 0.500 0.250
Te1 0.000 0.000 0.344
```

Calculated values
Magnetization   0.00 Bohr magnetons per cell
Formation energy from raw total energies   -49.1 kJ per mole of atoms
D(E_F)   0.51 states/eV per atom
E   -0.1955 Ry per atom



Entry 12:
VASP calculation (PBE-GGA) on crystalline Ba2ZnTe at its relaxed geometry.

```
data_Ba2ZnTe
_symmetry_space_group_name_H-M 'F m -3 m'
_symmetry_Int_Tables_number 225
_symmetry_space_group_name_Hall '-F 4 2 3'
_cell_length_a 8.364
_cell_length_b 8.364
_cell_length_c 8.364
_cell_angle_alpha 90.00
_cell_angle_beta 90.00
_cell_angle_gamma 90.00
loop_
_atom_site_label
_atom_site_fract_x
_atom_site_fract_y
_atom_site_fract_z
Ba1 0.250 0.250 0.250
Zn1 0.000 0.000 0.000
Te1 0.000 0.000 0.500
```

Calculated values
Magnetization   0.00 Bohr magnetons per cell
Formation energy from raw total energies   -69.2 kJ per mole of atoms
D(E_F)   1.13 states/eV per atom
E   -0.2045 Ry per atom



Entry 13:
VASP calculation (PBE-GGA) on crystalline Ba2ZnTe at its relaxed geometry.

```
data_Ba2ZnTe
_symmetry_space_group_name_H-M 'I -4 m 2'
_symmetry_Int_Tables_number 119
_symmetry_space_group_name_Hall 'I -4 -2'
_cell_length_a 4.922
_cell_length_b 4.922
_cell_length_c 12.764
_cell_angle_alpha 90.00
_cell_angle_beta 90.00
_cell_angle_gamma 90.00
loop_
_atom_site_label
_atom_site_fract_x
_atom_site_fract_y
_atom_site_fract_z
Ba1 0.000 0.000 0.000
Ba2 0.000 0.500 0.250
Zn1 0.000 0.000 0.500
Te1 0.000 0.500 0.750
```

Calculated values
Magnetization   0.00 Bohr magnetons per cell
Formation energy from raw total energies   -68.1 kJ per mole of atoms
D(E_F)   0.51 states/eV per atom
E   -0.2036 Ry per atom